# TaTc2MoH

A geometry-optimized TaTc2MoH structure (PBE, Alexandria via LeMat-Bulk).

Lattice parameters (Å, degrees): 4.030 4.030 4.025 90.00 90.00 90.00
Fractional coordinates of all 5 atoms:
Ta 0.000 0.000 0.000
Tc 0.000 0.500 0.500
Tc 0.500 0.000 0.500
Mo 0.500 0.500 0.000
H 0.000 0.000 0.500

## Properties
space group	P4/mmm
polymorph energy (0 for the lowest one)	21	meV/atom
volume	13.1	A^3/atom
total moment	0.0	μB per cell